#w
VRuPb3 after structural relaxation. Source: the Alexandria database, functional PBE.

Cell and atoms, written as extended XYZ:
```
5
Lattice="5.2619 0.0000 0.0000 0.0000 5.2619 0.0000 0.0000 0.0000 5.2619" Properties=species:S:1:pos:R:3 pbc="T T T"
V 0.0000 0.0000 0.0000
Ru 2.6309 2.6309 2.6309
Pb 0.0000 2.6309 2.6309
Pb 2.6309 0.0000 2.6309
Pb 2.6309 2.6309 0.0000
```

=====

#x
VRuPb3 after structural relaxation. Source: the Alexandria database, functional PBE.

Cell and atoms, written as extended XYZ:
```
5
Lattice="5.2229 0.0000 0.0000 0.0000 5.2229 0.0000 0.0000 0.0000 5.2229" Properties=species:S:1:pos:R:3 pbc="T T T"
V 0.0000 0.0000 0.0000
Ru 2.6114 2.6114 2.6114
Pb 0.0000 0.0000 2.6114
Pb 0.0000 2.6114 0.0000
Pb 2.6114 0.0000 0.0000
```

=====

Stability summary: most stable #w, least stable #x.

=====

#w
VRu2Pb2 after structural relaxation. Source: the Alexandria database, functional PBE.

Cell and atoms, written as extended XYZ:
```
5
Lattice="-2.7049 2.7049 3.6271 2.7049 -2.7049 3.6271 2.7049 2.7049 -3.6271" Properties=species:S:1:pos:R:3 pbc="T T T"
V 0.0000 0.0000 0.0000
Ru 0.0000 0.0000 2.3462
Ru 0.0000 0.0000 4.9080
Pb 2.7049 0.0000 1.8136
Pb 0.0000 2.7049 1.8136
```

=====

#x
VRu2Pb2 after structural relaxation. Source: the Alexandria database, functional PBE.

Cell and atoms, written as extended XYZ:
```
10
Lattice="6.5648 0.0000 0.0000 0.0000 6.5648 0.0000 0.0000 0.0000 4.4139" Properties=species:S:1:pos:R:3 pbc="T T T"
V 0.0000 0.0000 0.0000
V 3.2824 3.2824 0.0000
Ru 0.9195 2.3629 0.0000
Ru 2.3629 5.6453 0.0000
Ru 4.2019 0.9195 0.0000
Ru 5.6453 4.2019 0.0000
Pb 1.1545 4.4369 2.2070
Pb 2.1280 1.1545 2.2070
Pb 4.4369 5.4104 2.2070
Pb 5.4104 2.1280 2.2070
```

=====

Stability summary: most stable #x, least stable #w.